Here is ZnCdP2 after structural relaxation from Alexandria via LeMat-Bulk. Energies are from PBE-GGA.

Properties
Offset from the most stable computed form (eV/atom): 0.241
Electronic total energy (Ry per atom): -0.2169
ΔH_f (0 K) (meV per atom): 301

a = 5.445 Å, b = 7.309 Å, c = 4.165 Å
α = 90.00°, β = 117.02°, γ = 90.00°
Space group C2/m (No. 12)
One atom of each set of equivalent atoms:
1 Zn 0.000 0.000 0.000 (multiplicity 2)
2 Cd 0.000 0.500 0.000 (multiplicity 2)
3 P 0.250 0.250 0.500 (multiplicity 4)

---

Here is BaHfSe2O8 after structural relaxation from Alexandria via LeMat-Bulk. Energies are from PBE-GGA.

Properties
Electronic total energy (Ry per atom): -0.4831
Formation energy from raw total energies (eV/atom): -1.6967

a = 8.174 Å, b = 6.269 Å, c = 7.983 Å
α = 90.00°, β = 91.49°, γ = 90.00°
Space group C2/m (No. 12)
One atom of each set of equivalent atoms:
1 Ba 0.000 0.000 0.000 (multiplicity 2)
2 Hf 0.000 0.000 0.500 (multiplicity 2)
3 Se 0.098 0.500 0.290 (multiplicity 4)
4 O 0.038 0.209 0.303 (multiplicity 8)
5 O 0.182 0.500 0.100 (multiplicity 4)
6 O 0.249 0.500 0.443 (multiplicity 4)

---

Here is OsRu after structural relaxation from Alexandria via LeMat-Bulk. Energies are from PBE-GGA.

Properties
Electronic total energy (Ry per atom): -0.6712
ΔH_f (0 K) (meV per atom): 1121

a = 3.7977 Å, b = 3.7977 Å, c = 5.3380 Å
α = 90.00°, β = 90.00°, γ = 120.00°
Space group P6_3/mmc (No. 194)
One atom of each set of equivalent atoms:
1 Os 0.3333 0.6667 0.2500 (multiplicity 2)
2 Ru 0.0000 0.0000 0.0000 (multiplicity 2)

---

Here is GaFeH3 after structural relaxation from Alexandria via LeMat-Bulk. Energies are from PBE-GGA.

Properties
Offset from the most stable computed form (eV/atom): 0.553
Electronic total energy (Ry per atom): -0.2570

a = 3.537 Å, b = 3.537 Å, c = 3.537 Å
α = 90.00°, β = 90.00°, γ = 90.00°
Space group Pm-3m (No. 221)
One atom of each set of equivalent atoms:
1 Ga 0.000 0.000 0.000 (multiplicity 1)
2 Fe 0.500 0.500 0.500 (multiplicity 1)
3 H 0.000 0.000 0.500 (multiplicity 3)

---

Here is TiTlPPd2 after structural relaxation from Alexandria via LeMat-Bulk. Energies are from PBE-GGA.

Properties
Electronic total energy (Ry per atom): -0.3189
ΔH_f (0 K) (meV per atom): 873

a = 4.673 Å, b = 4.673 Å, c = 5.315 Å
α = 90.00°, β = 90.00°, γ = 90.00°
Space group P4/mmm (No. 123)
One atom of each set of equivalent atoms:
1 Ti 0.000 0.000 0.000 (multiplicity 1)
2 Tl 0.000 0.000 0.500 (multiplicity 1)
3 P 0.500 0.500 0.500 (multiplicity 1)
4 Pd 0.000 0.500 0.000 (multiplicity 2)

---

Here is TbSc3Co after structural relaxation from Alexandria via LeMat-Bulk. Energies are from PBE-GGA.

Properties
Offset from the most stable computed form (eV/atom): 0.000
Electronic total energy (Ry per atom): -0.4609
ΔH_f (0 K) (meV per atom): -124

a = 12.323 Å, b = 3.540 Å, c = 10.462 Å
α = 90.00°, β = 92.15°, γ = 90.00°
Space group C2/m (No. 12)
One atom of each set of equivalent atoms:
1 Tb 0.153 0.000 0.086 (multiplicity 4)
2 Sc 0.061 0.000 0.373 (multiplicity 4)
3 Sc 0.075 0.500 0.825 (multiplicity 4)
4 Sc 0.223 0.000 0.634 (multiplicity 4)
5 Co 0.090 0.500 0.560 (multiplicity 4)

---

Here is Hf2VGe2 after structural relaxation from Alexandria via LeMat-Bulk. Energies are from PBE-GGA.

Properties
Offset from the most stable computed form (eV/atom): 0.000
Electronic total energy (Ry per atom): -0.6054
ΔH_f (0 K) (meV per atom): -585

a = 6.744 Å, b = 6.744 Å, c = 3.831 Å
α = 90.00°, β = 90.00°, γ = 90.00°
Space group P4/mbm (No. 127)
One atom of each set of equivalent atoms:
1 Hf 0.173 0.327 0.000 (multiplicity 4)
2 V 0.000 0.000 0.500 (multiplicity 2)
3 Ge 0.134 0.634 0.500 (multiplicity 4)

---

Here is Co3AsCl after structural relaxation from Alexandria via LeMat-Bulk. Energies are from PBE-GGA.

Properties
Offset from the most stable computed form (eV/atom): 0.042
Electronic total energy (Ry per atom): -0.3479
Formation energy from raw total energies (eV/atom): 0.8297

a = 4.150 Å, b = 4.150 Å, c = 4.150 Å
α = 90.00°, β = 90.00°, γ = 90.00°
Space group Pm-3m (No. 221)
One atom of each set of equivalent atoms:
1 Co 0.000 0.000 0.500 (multiplicity 3)
2 As 0.500 0.500 0.500 (multiplicity 1)
3 Cl 0.000 0.000 0.000 (multiplicity 1)

---

Here is SrSc2Te after structural relaxation from Alexandria via LeMat-Bulk. Energies are from PBE-GGA.

Properties
Electronic total energy (Ry per atom): -0.3514
Formation energy from raw total energies (eV/atom): -0.4096

a = 3.710 Å, b = 5.522 Å, c = 11.472 Å
α = 90.00°, β = 90.00°, γ = 90.00°
Space group Immm (No. 71)
One atom of each set of equivalent atoms:
1 Sr 0.000 0.000 0.000 (multiplicity 2)
2 Sc 0.000 0.500 0.210 (multiplicity 4)
3 Te 0.000 0.000 0.500 (multiplicity 2)

---

Here is PmHfTi2O8 after structural relaxation from Alexandria via LeMat-Bulk. Energies are from PBE-GGA.

Properties
Electronic total energy (Ry per atom): -0.6533
Formation energy from raw total energies (eV/atom): -3.0413

a = 5.114 Å, b = 5.114 Å, c = 10.957 Å
α = 90.00°, β = 90.00°, γ = 90.00°
Space group I-4 (No. 82)
One atom of each set of equivalent atoms:
1 Pm 0.000 0.000 0.000 (multiplicity 2)
2 Hf 0.000 0.500 0.750 (multiplicity 2)
3 Ti 0.000 0.000 0.500 (multiplicity 2)
4 Ti 0.000 0.500 0.250 (multiplicity 2)
5 O 0.153 0.262 0.592 (multiplicity 8)
6 O 0.186 0.763 0.172 (multiplicity 8)

---

Here is NaPrCuPd after structural relaxation from Alexandria via LeMat-Bulk. Energies are from PBE-GGA.

Properties
Electronic total energy (Ry per atom): -0.2957
ΔH_f (0 K) (meV per atom): -177

a = 7.065 Å, b = 7.065 Å, c = 7.065 Å
α = 90.00°, β = 90.00°, γ = 90.00°
Space group F-43m (No. 216)
One atom of each set of equivalent atoms:
1 Na 0.000 0.000 0.000 (multiplicity 4)
2 Pr 0.000 0.000 0.500 (multiplicity 4)
3 Cu 0.250 0.250 0.250 (multiplicity 4)
4 Pd 0.250 0.250 0.750 (multiplicity 4)

---

Here is SrPrPd after structural relaxation from Alexandria via LeMat-Bulk. Energies are from PBE-GGA.

Properties
Offset from the most stable computed form (eV/atom): 0.101
Electronic total energy (Ry per atom): -0.3142
ΔH_f (0 K) (meV per atom): -390

a = 6.229 Å, b = 4.893 Å, c = 6.750 Å
α = 90.00°, β = 105.11°, γ = 90.00°
Space group P2_1/m (No. 11)
One atom of each set of equivalent atoms:
1 Sr 0.071 0.250 0.286 (multiplicity 2)
2 Pr 0.484 0.250 0.819 (multiplicity 2)
3 Pd 0.387 0.750 0.579 (multiplicity 2)

---

Volume values (in Å³/cell) by entry order: 147.7, 408.9, 66.7, 44.3, 116.0, 456.1, 174.2, 71.5, 235.0, 286.5, 352.7, 198.6.
Magnetic moment values (in μB/f.u.) by entry order: 0.00, 0.00, 0.00, 2.94, 0.00, 0.00, 0.00, 1.40, 0.00, 1.05, 0.00, 0.00.